Below is PmNd6Er12 after structural relaxation, with properties calculated at the PBE level.

Computed properties:
The value obtained for the energy above the lowest structure with this stoichiometry is 0.000 eV/atom. The space group is No. 166.

a = 8.7169 Å, b = 8.7169 Å, c = 8.7169 Å
α = 98.67°, β = 98.67°, γ = 98.67°
Atoms (fractional coordinates):
Nd: 0.9009 0.3456 0.9009
Nd: 0.9009 0.9009 0.3456
Nd: 0.0991 0.6544 0.0991
Nd: 0.6544 0.0991 0.0991
Nd: 0.3456 0.9009 0.9009
Nd: 0.0991 0.0991 0.6544
Er: 0.7561 0.5000 0.2439
Er: 0.0810 0.3556 0.3556
Er: 0.5000 0.7561 0.2439
Er: 0.6444 0.9190 0.6444
Er: 0.3556 0.0810 0.3556
Er: 0.2439 0.7561 0.5000
Er: 0.3556 0.3556 0.0810
Er: 0.9190 0.6444 0.6444
Er: 0.7561 0.2439 0.5000
Er: 0.2439 0.5000 0.7561
Er: 0.5000 0.2439 0.7561
Er: 0.6444 0.6444 0.9190
Pm: 0.0000 0.0000 0.0000

=====

Below is Pm8Nd5Er after structural relaxation, with properties calculated at the PBE level.

Computed properties:
The space group is No. 82.

a = 8.6198 Å, b = 8.6198 Å, c = 8.6198 Å
α = 110.65°, β = 107.13°, γ = 110.65°
Atoms (fractional coordinates):
Nd: 0.2875 0.1032 0.9710
Nd: 0.5000 0.0000 0.5000
Nd: 0.8157 0.6834 0.7125
Nd: 0.0290 0.3166 0.1322
Nd: 0.8678 0.8968 0.1843
Pm: 0.5242 0.6033 0.2660
Pm: 0.7340 0.2582 0.3373
Pm: 0.3378 0.2667 0.4359
Pm: 0.0791 0.7418 0.4758
Pm: 0.9289 0.0981 0.6622
Pm: 0.5641 0.9019 0.8308
Pm: 0.6627 0.3967 0.9209
Pm: 0.1692 0.7333 0.0711
Er: 0.2500 0.5000 0.7500

=====

Below is Pm5Nd12Er2 after structural relaxation, with properties calculated at the PBE level.

Computed properties:
The value obtained for the energy above the lowest structure with this stoichiometry is 0.000 eV/atom. The space group is No. 12.

a = 8.0991 Å, b = 9.3989 Å, c = 9.3989 Å
α = 69.24°, β = 87.21°, γ = 87.21°
Atoms (fractional coordinates):
Er: 0.0000 0.7327 0.2673
Er: 0.0000 0.2673 0.7327
Nd: 0.2071 0.9596 0.4134
Nd: 0.7929 0.5866 0.0404
Nd: 0.6135 0.8312 0.3811
Nd: 0.3865 0.6189 0.1688
Nd: 0.1033 0.8688 0.8688
Nd: 0.3865 0.1688 0.6189
Nd: 0.6135 0.3811 0.8312
Nd: 0.2071 0.4134 0.9596
Nd: 0.7095 0.4477 0.4477
Nd: 0.2905 0.5523 0.5523
Nd: 0.8967 0.1312 0.1312
Nd: 0.7929 0.0404 0.5866
Pm: 0.5000 0.0000 0.0000
Pm: 0.4812 0.7578 0.7578
Pm: 0.5188 0.2422 0.2422
Pm: 0.0878 0.3438 0.3438
Pm: 0.9122 0.6562 0.6562

=====

Below is Pm2Nd3Er6 after structural relaxation, with properties calculated at the PBE level.

Computed properties:
The value obtained for the energy above the lowest structure with this stoichiometry is 0.000 eV/atom. The space group is No. 12.

a = 6.1603 Å, b = 6.1689 Å, c = 11.6405 Å
α = 84.92°, β = 79.78°, γ = 60.05°
Atoms (fractional coordinates):
Er: 0.2502 0.0000 0.2512
Er: 0.9158 0.6671 0.2514
Er: 0.5829 0.3329 0.2514
Er: 0.4171 0.6671 0.7486
Er: 0.7498 0.0000 0.7488
Er: 0.0842 0.3329 0.7486
Nd: 0.0000 0.0000 0.0000
Nd: 0.6641 0.6719 0.0000
Nd: 0.3359 0.3281 0.0000
Pm: 0.8334 0.3332 0.5000
Pm: 0.1666 0.6668 0.5000

=====

Below is Pm2Nd5Er6 after structural relaxation, with properties calculated at the PBE level.

Computed properties:
The space group is No. 55.

a = 3.6013 Å, b = 11.7139 Å, c = 20.5623 Å
α = 90.00°, β = 90.00°, γ = 90.00°
Atoms (fractional coordinates):
Nd: 0.5000 0.2997 0.4493
Nd: 0.5000 0.5848 0.2766
Nd: 0.5000 0.7003 0.5507
Nd: 0.5000 0.0848 0.2234
Nd: 0.5000 0.9152 0.7766
Nd: 0.5000 0.7997 0.0507
Nd: 0.5000 0.0000 0.5000
Nd: 0.5000 0.4152 0.7234
Nd: 0.5000 0.5000 0.0000
Nd: 0.5000 0.2003 0.9493
Er: 0.0000 0.4228 0.8665
Er: 0.0000 0.5611 0.4214
Er: 0.0000 0.9228 0.6335
Er: 0.0000 0.0611 0.0786
Er: 0.5000 0.8205 0.3680
Er: 0.0000 0.4389 0.5786
Er: 0.5000 0.3205 0.1320
Er: 0.5000 0.1795 0.6320
Er: 0.0000 0.0772 0.3665
Er: 0.5000 0.6795 0.8680
Er: 0.0000 0.5772 0.1335
Er: 0.0000 0.9389 0.9214
Pm: 0.0000 0.3274 0.2849
Pm: 0.0000 0.6726 0.7151
Pm: 0.0000 0.8274 0.2151
Pm: 0.0000 0.1726 0.7849

=====

Below is Pm3Nd5Er2 after structural relaxation, with properties calculated at the PBE level.

Computed properties:
The value obtained for the energy above the lowest structure with this stoichiometry is 0.000 eV/atom. The space group is No. 15.

a = 10.0864 Å, b = 10.0879 Å, c = 11.3249 Å
α = 129.26°, β = 129.25°, γ = 65.11°
Atoms (fractional coordinates):
Nd: 0.9779 0.2279 0.4559
Nd: 0.8766 0.6312 0.7523
Nd: 0.3757 0.1212 0.7523
Nd: 0.1234 0.3688 0.2477
Nd: 0.6243 0.8788 0.2477
Nd: 0.2714 0.5214 0.0427
Nd: 0.7286 0.4786 0.9573
Nd: 0.0221 0.7721 0.5441
Nd: 0.5203 0.2703 0.5406
Nd: 0.4797 0.7297 0.4594
Er: 0.7779 0.0299 0.7516
Er: 0.2221 0.9701 0.2484
Er: 0.5263 0.2783 0.2484
Er: 0.4737 0.7217 0.7516
Pm: 0.2284 0.9784 0.9568
Pm: 0.9704 0.2226 0.7495
Pm: 0.7716 0.0216 0.0432
Pm: 0.7209 0.4730 0.2505
Pm: 0.2791 0.5270 0.7495
Pm: 0.0296 0.7774 0.2505

=====

It is found that the ΔH_f (0 K) values, taken in the order of the records, are 0.22, 0.24, 0.12, 0.19, 0.09, 0.17 eV per atom.